A plane-wave DFT calculation with GGA-PBE was carried out for crystalline Tm2AlGa12 at its relaxed geometry.

Values from the calculation:
Density of states at the Fermi level in states/eV per cell: 7.1
E_form in meV per atom: -224
Calculated volume in Å³/atom: 19.37

a b c (Å): 5.855 5.855 16.946
angles (deg): 90.00 90.00 90.00
Element x y z (fractional)
Tm 0.500 0.000 0.275
Tm 0.000 0.500 0.275
Tm 0.000 0.500 0.725
Tm 0.500 0.000 0.725
Al 0.500 0.000 0.000
Al 0.000 0.500 0.000
Ga 0.500 0.500 0.798
Ga 0.000 0.000 0.798
Ga 0.752 0.748 0.895
Ga 0.252 0.752 0.895
Ga 0.000 0.000 0.347
Ga 0.248 0.748 0.105
Ga 0.826 0.326 0.566
Ga 0.500 0.500 0.347
Ga 0.248 0.252 0.895
Ga 0.748 0.752 0.105
Ga 0.326 0.174 0.566
Ga 0.674 0.174 0.434
Ga 0.000 0.000 0.653
Ga 0.174 0.326 0.434
Ga 0.252 0.248 0.105
Ga 0.826 0.674 0.434
Ga 0.674 0.826 0.566
Ga 0.000 0.000 0.202
Ga 0.174 0.674 0.566
Ga 0.500 0.500 0.653
Ga 0.748 0.248 0.895
Ga 0.500 0.500 0.202
Ga 0.326 0.826 0.434
Ga 0.752 0.252 0.105


A plane-wave DFT calculation with GGA-PBE was carried out for crystalline Nd4IrRuCl2 at its relaxed geometry.

Values from the calculation:
Formation energy from raw total energies in eV/f.u.: -8.2
Density of states at the Fermi level in states/eV per cell: 4.3
Calculated volume in Å³/atom: 27.45

a b c (Å): 4.080 7.083 7.956
angles (deg): 107.22 90.00 90.00
Element x y z (fractional)
Nd 0.500 0.240 0.205
Nd 0.500 0.760 0.795
Nd 0.000 0.267 0.794
Nd 0.000 0.733 0.206
Ir 0.000 0.000 0.000
Ru 0.500 0.500 0.000
Cl 0.500 0.000 0.500
Cl 0.000 0.500 0.500


A plane-wave DFT calculation with GGA-PBE was carried out for crystalline K2SnI2Cl2 at its relaxed geometry.

Values from the calculation:
Formation energy from raw total energies in eV/f.u.: -9.1
Density of states at the Fermi level in states/eV per cell: 0.0
Calculated volume in Å³/atom: 39.73

a b c (Å): 4.613 8.545 8.673
angles (deg): 58.87 74.54 89.96
Element x y z (fractional)
K 0.165 0.723 0.669
K 0.835 0.277 0.331
Sn 0.000 0.000 0.000
I 0.534 0.299 0.932
I 0.466 0.701 0.068
Cl 0.192 0.118 0.616
Cl 0.808 0.882 0.384